! MgMo2Au | Alexandria | GGA-PBE | optimized geometry; values from VASP
&SYSTEM
  ibrav = 0, nat = 4, ntyp = 3
/
ATOMIC_SPECIES
Mg 24.30 Mg.upf
Mo 95.94 Mo.upf
Au 196.97 Au.upf
ATOMIC_POSITIONS crystal
Mg 0.000 0.500 0.500
Mo 0.500 0.500 0.000
Au 0.500 0.000 0.500
Mo 0.000 0.000 0.000
CELL_PARAMETERS angstrom
-2.806 -1.495 -4.255
2.664 -3.611 2.842
-2.192 -0.375 1.578
! * total moment: 0.00 μB per formula unit
! * symmetry: No. 65
! * formation enthalpy at 0 K: 210 meV/atom